(1)
Below is crystalline Hf2CuPd3 at its relaxed geometry, with properties calculated at the PBE level.

The structure belongs to space group Ibam (No. 72); the cell edges are 7.0320, 12.5090 and 5.4418 Å and the angles 90.00°, 90.00° and 90.00°. The inequivalent atoms are Hf at (0.1668, 0.1598, 0.0000), Cu at (0.0000, 0.5000, 0.0000), Pd at (0.0000, 0.0000, 0.2500) and Pd at (0.0000, 0.3200, 0.2500).

The calculation puts the formation energy from the elements at -1.36 eV per formula unit.



(2)
Below is crystalline Ba2CaIn12Pd3 at its relaxed geometry, with properties calculated at the PBE level.

The structure belongs to space group R-3m (No. 166, hexagonal axes); the cell edges are 9.4588, 9.4588 and 21.7071 Å and the angles 90.00°, 90.00° and 120.00°. The inequivalent atoms are Ba at (0.0000, 0.0000, 0.0858), Ca at (0.0000, 0.0000, 0.5000), In at (0.0776, 0.5388, 0.2911), In at (0.0823, 0.5411, 0.8781) and Pd at (0.0000, 0.5000, 0.0000).

The calculation puts the formation energy from the elements at -2.64 eV per formula unit.



(3)
Below is crystalline UFePt6 at its relaxed geometry, with properties calculated at the PBE level.

The structure belongs to space group P4/mmm (No. 123); the cell edges are 5.7155, 5.7155 and 4.0404 Å and the angles 90.00°, 90.00° and 90.00°. The inequivalent atoms are U at (0.0000, 0.0000, 0.0000), Fe at (0.5000, 0.5000, 0.0000), Pt at (0.0000, 0.5000, 0.0000) and Pt at (0.2550, 0.2550, 0.5000).

The calculation puts the formation energy from the elements at -3.77 eV per formula unit.



(4)
Below is crystalline Dy4Ga2N at its relaxed geometry, with properties calculated at the PBE level.

The structure belongs to space group C2/m (No. 12); the cell edges are 14.9548, 3.6088 and 5.9738 Å and the angles 90.00°, 103.16° and 90.00°. The inequivalent atoms are Dy at (0.0686, 0.0000, 0.2718), Dy at (0.1328, 0.5000, 0.8436), Ga at (0.2398, 0.5000, 0.3389) and N at (0.0000, 0.5000, 0.0000).

For the energy above the most stable polymorph in this dataset, the calculation gives 46 meV/atom. The formation energy (no corrections) comes out at -0.748 eV/atom.



(5)
Below is crystalline SmErRu2 at its relaxed geometry, with properties calculated at the PBE level.

The structure belongs to space group Fm-3m (No. 225); the cell edges are 6.8371, 6.8371 and 6.8371 Å and the angles 90.00°, 90.00° and 90.00°. The inequivalent atoms are Sm at (0.0000, 0.0000, 0.0000), Er at (0.0000, 0.0000, 0.5000) and Ru at (0.2500, 0.2500, 0.2500).

The calculation puts the formation energy from the elements at -1.05 eV per formula unit.



(6)
Below is crystalline KSr2Pt2 at its relaxed geometry, with properties calculated at the PBE level.

The structure belongs to space group P4/mbm (No. 127); the cell edges are 8.8273, 8.8273 and 3.6611 Å and the angles 90.00°, 90.00° and 90.00°. The inequivalent atoms are K at (0.0000, 0.0000, 0.0000), Sr at (0.1396, 0.3604, 0.0000) and Pt at (0.1539, 0.6539, 0.5000).

The calculation puts the formation energy from the elements at -2.26 eV per formula unit.